1.
Density functional theory data (PBE) for Sm6YEr after structural relaxation.

Calculated values
For the energy of formation from the pure elements, the calculation gives 186 meV per atom. The space group is No. 2. The density of states at the Fermi level comes out at 1.7010 states/eV per atom. Its volume is 268 Å³ per cell.

Lattice parameters (Å, degrees): 6.5781 6.8365 6.9906 118.89 101.61 90.40
Element x y z (fractional)
1 Sm 0.2291 0.4022 0.4717
2 Sm 0.2490 0.9479 0.9992
3 Sm 0.2676 0.9263 0.5222
4 Sm 0.7324 0.0737 0.4778
5 Sm 0.7510 0.0521 0.0008
6 Sm 0.7709 0.5978 0.5283
7 Y 0.5000 0.5000 0.0000
8 Er 0.0000 0.5000 0.0000

***

2.
Density functional theory data (PBE) for Ac2YTh after structural relaxation.

Calculated values
For the energy of formation from the pure elements, the calculation gives 250 meV per atom. The space group is No. 225. The density of states at the Fermi level comes out at 2.6437 states/eV per atom. Its volume is 612 Å³ per cell.

Lattice parameters (Å, degrees): 8.4910 8.4910 8.4910 90.00 90.00 90.00
Element x y z (fractional)
1 Ac 0.2500 0.2500 0.2500
2 Ac 0.2500 0.2500 0.7500
3 Ac 0.2500 0.7500 0.2500
4 Ac 0.2500 0.7500 0.7500
5 Ac 0.7500 0.2500 0.2500
6 Ac 0.7500 0.2500 0.7500
7 Ac 0.7500 0.7500 0.2500
8 Ac 0.7500 0.7500 0.7500
9 Y 0.0000 0.0000 0.0000
10 Y 0.0000 0.5000 0.5000
11 Y 0.5000 0.0000 0.5000
12 Y 0.5000 0.5000 0.0000
13 Th 0.0000 0.0000 0.5000
14 Th 0.0000 0.5000 0.0000
15 Th 0.5000 0.0000 0.0000
16 Th 0.5000 0.5000 0.5000

***

3.
Density functional theory data (PBE) for LaB2Rh6 after structural relaxation.

Calculated values
For the energy of formation from the pure elements, the calculation gives -151 meV per atom. The space group is No. 227. The density of states at the Fermi level comes out at 1.5930 states/eV per atom. Its volume is 298 Å³ per cell.

Lattice parameters (Å, degrees): 7.5007 7.5007 7.5007 60.00 60.00 60.00
Element x y z (fractional)
1 La 0.1250 0.1250 0.1250
2 La 0.8750 0.8750 0.8750
3 B 0.0000 0.5000 0.5000
4 B 0.5000 0.0000 0.5000
5 B 0.5000 0.5000 0.0000
6 B 0.5000 0.5000 0.5000
7 Rh 0.1696 0.1696 0.5804
8 Rh 0.1696 0.5804 0.1696
9 Rh 0.1696 0.5804 0.5804
10 Rh 0.4196 0.4196 0.8304
11 Rh 0.4196 0.8304 0.4196
12 Rh 0.4196 0.8304 0.8304
13 Rh 0.5804 0.1696 0.1696
14 Rh 0.5804 0.1696 0.5804
15 Rh 0.5804 0.5804 0.1696
16 Rh 0.8304 0.4196 0.4196
17 Rh 0.8304 0.4196 0.8304
18 Rh 0.8304 0.8304 0.4196

***

4.
Density functional theory data (PBE) for BeO2 after structural relaxation.

Calculated values
The total energy is -5.80 eV/atom. The space group is No. 14. The density of states at the Fermi level comes out at 0.0938 states/eV per atom. Its volume is 150 Å³ per cell.

Lattice parameters (Å, degrees): 3.5806 5.5368 7.5489 90.00 90.15 90.00
Element x y z (fractional)
1 Be 0.9997 0.0850 0.1801
2 Be 0.9997 0.4150 0.6801
3 Be 0.0003 0.5850 0.3199
4 Be 0.0003 0.9150 0.8199
5 O 0.9997 0.1556 0.7322
6 O 0.9997 0.3444 0.2322
7 O 0.0003 0.6556 0.7678
8 O 0.0003 0.8444 0.2678
9 O 0.3182 0.0004 0.9999
10 O 0.3182 0.4996 0.4999
11 O 0.6818 0.9996 0.0001
12 O 0.6818 0.5004 0.5001